[1]
# ScVIn2Os

An optimized crystal structure of ScVIn2Os (PBE, the Alexandria database).

a = 5.059 Å, b = 4.383 Å, c = 5.059 Å
α = 90.00°, β = 90.00°, γ = 90.00°
Positions (direct):
Sc 0.000 0.500 0.000
Os 0.500 0.500 0.500
In 0.000 0.000 0.500
V 0.000 0.000 0.000
In 0.500 0.000 0.000

Summary:
Space-group type: P4/mmm
ΔH_f (0 K) (meV/atom): 1326
Density (g cm⁻³): 7.63
Final energy (eV per formula unit): -25.53


[2]
# ZrScInOs

An optimized crystal structure of ZrScInOs (PBE, the Alexandria database).

a = 4.791 Å, b = 4.791 Å, c = 4.791 Å
α = 60.00°, β = 60.00°, γ = 60.00°
Positions (direct):
Zr 0.500 0.500 0.500
Os 0.750 0.750 0.750
In 0.250 0.250 0.250
Sc 0.000 0.000 0.000

Summary:
Space-group type: F-43m
ΔH_f (0 K) (meV/atom): -312
Density (g cm⁻³): 9.42
Final energy (eV per formula unit): -30.10
Energy above the most stable polymorph in this dataset (kJ/mol of atoms): 14.2


[3]
# ZrScInOs

An optimized crystal structure of ZrScInOs (PBE, the Alexandria database).

a = 3.257 Å, b = 3.257 Å, c = 7.470 Å
α = 90.00°, β = 90.00°, γ = 90.00°
Positions (direct):
In 0.000 0.000 0.075
Sc 0.500 0.500 0.357
Os 0.000 0.000 0.567
Zr 0.500 0.500 0.786

Summary:
Space-group type: P4mm
ΔH_f (0 K) (meV/atom): -460
Density (g cm⁻³): 9.24
Final energy (eV per formula unit): -30.69
Energy above the most stable polymorph in this dataset (kJ/mol of atoms): 0.0


[4]
# InOsSe2

An optimized crystal structure of InOsSe2 (PBE, the Alexandria database).

a = 5.412 Å, b = 5.412 Å, c = 5.337 Å
α = 70.87°, β = 70.87°, γ = 37.58°
Positions (direct):
Os 0.299 0.299 0.380
Se 0.733 0.733 0.735
In 0.573 0.573 0.355
Se 0.895 0.895 0.029

Summary:
Space-group type: Cm
Density (g cm⁻³): 8.60
Final energy (eV per formula unit): -20.55


[5]
# InOsSe2

An optimized crystal structure of InOsSe2 (PBE, the Alexandria database).

a = 6.398 Å, b = 6.398 Å, c = 6.398 Å
α = 151.74°, β = 136.40°, γ = 52.77°
Positions (direct):
Se 0.073 0.073 0.000
Os 0.250 0.750 0.500
In 0.750 0.250 0.500
Se 0.427 0.427 0.000

Summary:
Space-group type: Immm
Density (g cm⁻³): 9.04
Final energy (eV per formula unit): -20.17


[6]
# InOsSe2

An optimized crystal structure of InOsSe2 (PBE, the Alexandria database).

a = 3.864 Å, b = 3.864 Å, c = 7.294 Å
α = 74.70°, β = 74.70°, γ = 60.04°
Positions (direct):
Se 0.974 0.974 0.077
Se 0.526 0.526 0.423
In 0.750 0.750 0.750
Os 0.250 0.250 0.250

Summary:
Space-group type: R-3m
Density (g cm⁻³): 8.56
Final energy (eV per formula unit): -20.73